Density functional theory data (PBE-GGA) for a relaxed structure of NiSn3.

Volume ... 184 Å³/cell
Size of the total moment ... 0.0 μB per formula unit
VASP energy ... -33.0 eV per cell

Cell and atoms, written as CIF:
```
data_NiSn3
_chemical_formula_sum 'Ni2 Sn6'
_cell_length_a 4.355
_cell_length_b 4.355
_cell_length_c 9.726
_cell_angle_alpha 90.00
_cell_angle_beta 90.00
_cell_angle_gamma 90.00
_space_group_name_H-M_alt 'I 4/m m m'
_space_group_IT_number 139
_space_group_name_Hall '-I 4 2'
loop_
_atom_site_label
_atom_site_type_symbol
_atom_site_fract_x
_atom_site_fract_y
_atom_site_fract_z
Ni1 Ni 0.000 0.000 0.000
Sn1 Sn 0.000 0.000 0.500
Sn2 Sn 0.000 0.500 0.250
```